Crystalline ZrReMo2 at its relaxed geometry, computed with GGA-PBE.

Lattice parameters (Å, degrees): 2.8141 2.8141 9.1323 90.00 90.00 110.69
Last column: nearest neighbours and their distance in Å.
Atoms (fractional coordinates):
1 Mo 0.0000 0.0000 0.4838  2 Re 2.67, 4 Mo 2.81, 2 Zr 2.91
2 Zr 0.5000 0.5000 0.7500  4 Zr 2.81, 4 Mo 2.91
3 Mo 0.0000 0.0000 0.0162  2 Re 2.67, 4 Mo 2.81, 2 Zr 2.91
4 Re 0.5000 0.5000 0.2500  4 Mo 2.67, 4 Re 2.81

Summary:
- Calculated volume: 16.91 Å³/atom
- Total DFT energy (no corrections): -10.581 eV/atom
- Distance to the lowest polymorph of the same formula: 0.72 eV/f.u.
- Energy of formation: 84 meV per atom
- Space group: Cmmm (65)